Entry 1:
VASP calculation (GGA-PBEsol) on crystalline ZrTa2Co at its relaxed geometry.

a b c (Å): 6.3541 6.3541 6.3541
angles (deg): 90.00 90.00 90.00
Closest atoms and distances in Å follow each position.
Space group Fm-3m (No. 225)
Symmetry-distinct sites (fractional):
Zr 0.0000 0.0000 0.0000  8 Ta 2.75
Ta 0.2500 0.2500 0.2500  4 Zr 2.75, 4 Co 2.75
Co 0.0000 0.0000 0.5000  8 Ta 2.75

Results
Mass density   13.26 g cm⁻³
Total DFT energy (no corrections)   -10.334 eV per atom
E above lowest polymorph   18 meV/atom
Formation enthalpy at 0 K   0.15 eV/atom

=====

Entry 2:
VASP calculation (GGA-PBEsol) on crystalline ZrTaCo2 at its relaxed geometry.

a b c (Å): 3.6609 3.6609 8.6289
angles (deg): 90.00 90.00 90.00
Closest atoms and distances in Å follow each position.
Space group I-4m2 (No. 119)
Symmetry-distinct sites (fractional):
Zr 0.0000 0.0000 0.0000  8 Co 2.59-2.83, 4 Ta 2.83
Ta 0.0000 0.5000 0.7500  8 Co 2.59-2.83, 4 Zr 2.83
Co 0.0000 0.0000 0.5000  4 Zr 2.59, 4 Ta 2.83, 4 Co 2.83
Co 0.0000 0.5000 0.2500  4 Ta 2.59, 4 Zr 2.83, 4 Co 2.83

Results
Mass density   11.20 g cm⁻³
Total DFT energy (no corrections)   -9.331 eV per atom
Formation enthalpy at 0 K   -0.05 eV/atom

=====

Entry 3:
VASP calculation (GGA-PBEsol) on crystalline ZrTaCo2 at its relaxed geometry.

a b c (Å): 3.9586 3.0788 9.5947
angles (deg): 90.00 90.00 90.00
Closest atoms and distances in Å follow each position.
Space group Amm2 (No. 38)
Symmetry-distinct sites (fractional):
Zr 0.0000 0.0000 0.0000  7 Co 2.56-2.72
Ta 0.5000 0.0000 0.7194  7 Co 2.55-2.65
Co 0.0000 0.0000 0.2664  4 Ta 2.55, 3 Zr 2.56-2.72, 2 Co 2.61
Co 0.5000 0.0000 0.4433  4 Zr 2.57, 2 Co 2.61, 3 Ta 2.64-2.65

Results
Mass density   11.08 g cm⁻³
Total DFT energy (no corrections)   -9.574 eV per atom
Formation enthalpy at 0 K   -0.30 eV/atom

=====

Entry 4:
VASP calculation (GGA-PBEsol) on crystalline ZrTaCo2 at its relaxed geometry.

a b c (Å): 2.9813 2.9813 6.6042
angles (deg): 90.00 90.00 90.00
Closest atoms and distances in Å follow each position.
Space group P4/mmm (No. 123)
Symmetry-distinct sites (fractional):
Zr 0.0000 0.0000 0.0000  8 Co 2.84, 4 Zr 2.98
Ta 0.0000 0.0000 0.5000  8 Co 2.53
Co 0.5000 0.5000 0.2883  4 Ta 2.53, 1 Co 2.80

Results
Mass density   11.03 g cm⁻³
Total DFT energy (no corrections)   -9.512 eV per atom
Formation enthalpy at 0 K   -0.23 eV/atom

=====

Entry 5:
VASP calculation (GGA-PBEsol) on crystalline ZrTaCo2 at its relaxed geometry.

a b c (Å): 9.0973 2.8751 4.5279
angles (deg): 90.00 99.43 90.00
Closest atoms and distances in Å follow each position.
Space group Cm (No. 8)
Symmetry-distinct sites (fractional):
Zr 0.0000 0.0000 0.0000  7 Co 2.48-2.75
Ta 0.2744 0.5000 0.3693  7 Co 2.55-2.84, 1 Zr 2.85
Co 0.0149 0.5000 0.5153  3 Ta 2.55-2.61, 4 Zr 2.65-2.72, 2 Co 2.72
Co 0.2437 0.0000 0.8220  3 Zr 2.48-2.75, 2 Ta 2.56, 2 Co 2.72

Results
Mass density   11.09 g cm⁻³
Total DFT energy (no corrections)   -9.334 eV per atom
Formation enthalpy at 0 K   -0.05 eV/atom

=====

Entry 6:
VASP calculation (GGA-PBEsol) on crystalline ZrTaCo at its relaxed geometry.

a b c (Å): 3.0553 3.0553 10.5661
angles (deg): 90.00 90.00 90.00
Closest atoms and distances in Å follow each position.
Space group I4mm (No. 107)
Symmetry-distinct sites (fractional):
Zr 0.0000 0.0000 0.0000  4 Co 2.87, 5 Ta 3.00-3.20, 4 Zr 3.06
Ta 0.0000 0.0000 0.6973  4 Co 2.53
Co 0.0000 0.0000 0.3216  4 Ta 2.53

Results
Mass density   11.15 g cm⁻³
Total DFT energy (no corrections)   -9.938 eV per atom
Formation enthalpy at 0 K   -0.15 eV/atom

=====

Entry 7:
VASP calculation (GGA-PBEsol) on crystalline Tb3Co at its relaxed geometry.

a b c (Å): 6.8135 9.3332 6.1098
angles (deg): 90.00 90.00 90.00
Closest atoms and distances in Å follow each position.
Space group Pnma (No. 62)
Symmetry-distinct sites (fractional):
Tb 0.0423 0.2500 0.1422  2 Co 2.63-2.73
Tb 0.1735 0.0676 0.6758  2 Co 2.70-2.78
Co 0.1139 0.7500 0.4464  6 Tb 2.63-2.78

Results
Mass density   9.16 g cm⁻³
Total DFT energy (no corrections)   -5.838 eV per atom
Formation enthalpy at 0 K   -0.15 eV/atom

=====

Entry 8:
VASP calculation (GGA-PBEsol) on crystalline Tb4Co3 at its relaxed geometry.

a b c (Å): 11.1005 11.1005 3.9529
angles (deg): 90.00 90.00 120.00
Closest atoms and distances in Å follow each position.
Space group P-3 (No. 147)
Symmetry-distinct sites (fractional):
Tb 0.0282 0.7817 0.2489  4 Co 2.73-3.05
Tb 0.1347 0.5145 0.2522  7 Co 2.80-2.98
Co 0.0000 0.0000 0.5000  6 Tb 2.78
Co 0.1584 0.7203 0.7485  1 Co 2.30
Co 0.3333 0.6667 0.7546  3 Co 2.30

Results
Mass density   9.60 g cm⁻³
Total DFT energy (no corrections)   -6.326 eV per atom
Formation enthalpy at 0 K   -0.15 eV/atom

=====

- Look up the formation enthalpy at 0 K of the second one.
  -0.05 eV/atom

=====

- Look up the formation enthalpy at 0 K of the seventh one.
  -0.15 eV/atom